MgH10CO8 | PBEsol | relaxed

abc: 7.1138 7.5466 12.4516
angles: 90.00 102.55 90.00
Space group P2_1/c (No. 14)
One atom of each set of equivalent atoms:
Mg  0.0000  0.0000  0.0000 [2 per cell]
Mg  0.5000  0.0000  0.5000 [2 per cell]
H  0.0195  0.1803  0.1877 [4 per cell]
H  0.0988  0.6572  0.0581 [4 per cell]
H  0.1023  0.0020  0.8037 [4 per cell]
H  0.1176  0.1966  0.4223 [4 per cell]
H  0.2533  0.0582  0.6431 [4 per cell]
H  0.2960  0.7047  0.3970 [4 per cell]
H  0.3624  0.5734  0.6236 [4 per cell]
H  0.3654  0.6306  0.1470 [4 per cell]
H  0.3882  0.1097  0.0654 [4 per cell]
H  0.4476  0.7155  0.8310 [4 per cell]
C  0.3355  0.2485  0.3024 [4 per cell]
O  0.0096  0.2453  0.4541 [4 per cell]
O  0.0812  0.5959  0.3540 [4 per cell]
O  0.1908  0.1759  0.7372 [4 per cell]
O  0.2924  0.0150  0.0700 [4 per cell]
O  0.2932  0.5364  0.0937 [4 per cell]
O  0.3099  0.1479  0.3810 [4 per cell]
O  0.4241  0.7327  0.9083 [4 per cell]
O  0.4903  0.7231  0.7119 [4 per cell]

Properties
**Crystal system**: monoclinic
**Fermi-level density of states**: 0.00 states/eV/cell
**Total energy**: -5.635 eV/atom